1.
Entry from the Alexandria database: Ba3HfSc after structural relaxation (PBE). Values from VASP.

Summary:
Space-group type: Pm-3m
Energy (eV/atom): -3.369
Density of states at the Fermi level (states/eV/atom): 1.6272
E above lowest polymorph (eV/f.u.): 0.00
Formation energy from the elements (meV/atom): 1042

Structure (Quantum ESPRESSO input):
```
&SYSTEM
  ibrav = 0, nat = 5, ntyp = 3
/
ATOMIC_SPECIES
Ba 137.33 Ba.upf
Hf 178.49 Hf.upf
Sc 44.96 Sc.upf
CELL_PARAMETERS angstrom
6.292 0.000 0.000
0.000 6.292 0.000
0.000 0.000 6.292
ATOMIC_POSITIONS angstrom
Ba 0.000 0.000 3.146
Ba 0.000 3.146 0.000
Ba 3.146 0.000 0.000
Hf 0.000 0.000 0.000
Sc 3.146 3.146 3.146
```

***

2.
Entry from the Alexandria database: BaHfSc2 after structural relaxation (PBE). Values from VASP.

Summary:
Space-group type: I4_1/amd
Energy (eV/atom): -5.041
Density of states at the Fermi level (states/eV/atom): 1.7230
E above lowest polymorph (eV/f.u.): 2.35
Formation energy from the elements (meV/atom): 1094

Structure (Quantum ESPRESSO input):
```
&SYSTEM
  ibrav = 0, nat = 8, ntyp = 3
/
ATOMIC_SPECIES
Ba 137.33 Ba.upf
Hf 178.49 Hf.upf
Sc 44.96 Sc.upf
CELL_PARAMETERS angstrom
-2.772 2.772 10.350
2.772 -2.772 10.350
2.772 2.772 -10.350
ATOMIC_POSITIONS angstrom
Ba 2.772 1.386 2.588
Ba 0.000 1.386 7.763
Hf 2.772 -1.386 7.763
Hf 0.000 4.158 2.588
Sc 0.000 0.000 0.000
Sc 1.386 1.386 -5.175
Sc 1.386 -1.386 5.175
Sc 0.000 2.772 0.000
```

***

3.
Entry from the Alexandria database: BaHf2Sc2 after structural relaxation (PBE). Values from VASP.

Summary:
Space-group type: P4/mbm
Energy (eV/atom): -6.609
Density of states at the Fermi level (states/eV/atom): 1.4866
Formation energy from the elements (meV/atom): 289

Structure (Quantum ESPRESSO input):
```
&SYSTEM
  ibrav = 0, nat = 10, ntyp = 3
/
ATOMIC_SPECIES
Ba 137.33 Ba.upf
Hf 178.49 Hf.upf
Sc 44.96 Sc.upf
CELL_PARAMETERS angstrom
9.121 0.000 0.000
0.000 9.121 0.000
0.000 0.000 3.372
ATOMIC_POSITIONS angstrom
Ba 0.000 0.000 0.000
Ba 4.560 4.560 0.000
Hf 1.035 3.526 0.000
Hf 3.526 8.086 0.000
Hf 5.595 1.035 0.000
Hf 8.086 5.595 0.000
Sc 1.539 6.099 1.686
Sc 3.021 1.539 1.686
Sc 6.099 7.582 1.686
Sc 7.582 3.021 1.686
```

***

4.
Entry from the Alexandria database: BaHfSc2Si after structural relaxation (PBE). Values from VASP.

Summary:
Space-group type: P4/mmm
Formation energy (no corrections) (eV/atom): 0.173
Energy (eV/atom): -5.819
Density of states at the Fermi level (states/eV/atom): 1.6059

Structure (Quantum ESPRESSO input):
```
&SYSTEM
  ibrav = 0, nat = 5, ntyp = 4
/
ATOMIC_SPECIES
Ba 137.33 Ba.upf
Hf 178.49 Hf.upf
Sc 44.96 Sc.upf
Si 28.09 Si.upf
CELL_PARAMETERS angstrom
5.235 0.000 0.000
0.000 5.235 0.000
0.000 0.000 5.190
ATOMIC_POSITIONS angstrom
Ba 0.000 0.000 0.000
Hf 2.617 2.617 0.000
Sc 0.000 2.617 2.595
Sc 2.617 0.000 2.595
Si 2.617 2.617 2.595
```

***

5.
Entry from the Alexandria database: BaHfScTi2 after structural relaxation (PBE). Values from VASP.

Summary:
Space-group type: P4/mmm
Energy (eV/atom): -5.202
Density of states at the Fermi level (states/eV/atom): 1.7764
Formation energy from the elements (meV/atom): 1598

Structure (Quantum ESPRESSO input):
```
&SYSTEM
  ibrav = 0, nat = 5, ntyp = 4
/
ATOMIC_SPECIES
Ba 137.33 Ba.upf
Hf 178.49 Hf.upf
Sc 44.96 Sc.upf
Ti 47.87 Ti.upf
CELL_PARAMETERS angstrom
4.971 0.000 0.000
0.000 4.971 0.000
0.000 0.000 5.137
ATOMIC_POSITIONS angstrom
Ba 0.000 0.000 0.000
Hf 2.485 2.485 2.568
Sc 0.000 0.000 2.568
Ti 0.000 2.485 0.000
Ti 2.485 0.000 0.000
```

***

6.
Entry from the Alexandria database: BaHf2ScV after structural relaxation (PBE). Values from VASP.

Summary:
Space-group type: P4/mmm
Energy (eV/atom): -6.850
Density of states at the Fermi level (states/eV/atom): 1.3125
Formation energy from the elements (meV/atom): 606

Structure (Quantum ESPRESSO input):
```
&SYSTEM
  ibrav = 0, nat = 5, ntyp = 4
/
ATOMIC_SPECIES
Ba 137.33 Ba.upf
Hf 178.49 Hf.upf
Sc 44.96 Sc.upf
V 50.94 V.upf
CELL_PARAMETERS angstrom
5.037 0.000 0.000
0.000 5.037 0.000
0.000 0.000 5.437
ATOMIC_POSITIONS angstrom
Ba 0.000 0.000 0.000
Hf 0.000 2.519 2.719
Hf 2.519 0.000 2.719
Sc 2.519 2.519 0.000
V 2.519 2.519 2.719
```

***

7.
Entry from the Alexandria database: Ba2HfSe after structural relaxation (PBE). Values from VASP.

Summary:
Space-group type: I-42d
Formation energy (no corrections) (eV/atom): -0.187
Energy (eV/atom): -4.508
Density of states at the Fermi level (states/eV/atom): 1.6145

Structure (Quantum ESPRESSO input):
```
&SYSTEM
  ibrav = 0, nat = 8, ntyp = 3
/
ATOMIC_SPECIES
Ba 137.33 Ba.upf
Hf 178.49 Hf.upf
Se 78.96 Se.upf
CELL_PARAMETERS angstrom
-5.879 5.879 2.552
5.879 -5.879 2.552
5.879 5.879 -2.552
ATOMIC_POSITIONS angstrom
Ba 1.212 2.939 0.638
Ba -2.939 4.667 1.914
Ba -1.212 8.818 0.638
Ba 2.939 7.091 1.914
Hf 5.879 0.000 1.276
Hf 0.000 0.000 2.552
Se 0.000 0.000 0.000
Se 0.000 5.879 1.276
```

***

8.
Entry from the Alexandria database: Ba2Hf2Se after structural relaxation (PBE). Values from VASP.

Summary:
Space-group type: P4/mbm
Formation energy (no corrections) (eV/atom): 0.558
Energy (eV/atom): -4.890
Density of states at the Fermi level (states/eV/atom): 0.8473
E above lowest polymorph (eV/f.u.): 3.86

Structure (Quantum ESPRESSO input):
```
&SYSTEM
  ibrav = 0, nat = 10, ntyp = 3
/
ATOMIC_SPECIES
Ba 137.33 Ba.upf
Hf 178.49 Hf.upf
Se 78.96 Se.upf
CELL_PARAMETERS angstrom
8.538 0.000 0.000
0.000 8.538 0.000
0.000 0.000 5.540
ATOMIC_POSITIONS angstrom
Ba 1.478 2.792 0.000
Ba 2.792 7.061 0.000
Ba 5.747 1.478 0.000
Ba 7.061 5.747 0.000
Hf 0.932 5.201 2.770
Hf 3.337 0.932 2.770
Hf 5.201 7.607 2.770
Hf 7.607 3.337 2.770
Se 0.000 0.000 0.000
Se 4.269 4.269 0.000
```

***

9.
Entry from the Alexandria database: Ba3Hf2Se7 after structural relaxation (PBE). Values from VASP.

Summary:
Space-group type: I4/mmm
Formation energy (no corrections) (eV/atom): -1.683
Energy (eV/atom): -5.855
Density of states at the Fermi level (states/eV/atom): 0.0052
E above lowest polymorph (eV/f.u.): 0.00

Structure (Quantum ESPRESSO input):
```
&SYSTEM
  ibrav = 0, nat = 12, ntyp = 3
/
ATOMIC_SPECIES
Ba 137.33 Ba.upf
Hf 178.49 Hf.upf
Se 78.96 Se.upf
CELL_PARAMETERS angstrom
-2.612 2.612 13.407
2.612 -2.612 13.407
2.612 2.612 -13.407
ATOMIC_POSITIONS angstrom
Ba 0.000 0.000 0.000
Ba 0.000 0.000 4.833
Ba 0.000 0.000 21.981
Hf 0.000 0.000 10.700
Hf 0.000 0.000 16.115
Se 2.612 0.000 2.570
Se 0.000 0.000 8.075
Se 2.612 0.000 10.837
Se 0.000 0.000 13.407
Se 0.000 2.612 2.570
Se 0.000 0.000 18.739
Se 0.000 2.612 10.837
```

***

10.
Entry from the Alexandria database: BaHf3Se after structural relaxation (PBE). Values from VASP.

Summary:
Space-group type: Pm-3m
Formation energy (no corrections) (eV/atom): 0.225
Energy (eV/atom): -6.829
Density of states at the Fermi level (states/eV/atom): 0.6785
E above lowest polymorph (eV/f.u.): 0.00

Structure (Quantum ESPRESSO input):
```
&SYSTEM
  ibrav = 0, nat = 5, ntyp = 3
/
ATOMIC_SPECIES
Ba 137.33 Ba.upf
Hf 178.49 Hf.upf
Se 78.96 Se.upf
CELL_PARAMETERS angstrom
5.167 0.000 0.000
0.000 5.167 0.000
0.000 0.000 5.167
ATOMIC_POSITIONS angstrom
Ba 0.000 0.000 0.000
Hf 0.000 2.584 2.584
Hf 2.584 0.000 2.584
Hf 2.584 2.584 0.000
Se 2.584 2.584 2.584
```

***

11.
Entry from the Alexandria database: Ba2Hf2Se after structural relaxation (PBE). Values from VASP.

Summary:
Space-group type: I4/mmm
Formation energy (no corrections) (eV/atom): -0.214
Energy (eV/atom): -5.661
Density of states at the Fermi level (states/eV/atom): 1.1253
E above lowest polymorph (eV/f.u.): 0.00

Structure (Quantum ESPRESSO input):
```
&SYSTEM
  ibrav = 0, nat = 5, ntyp = 3
/
ATOMIC_SPECIES
Ba 137.33 Ba.upf
Hf 178.49 Hf.upf
Se 78.96 Se.upf
CELL_PARAMETERS angstrom
-2.006 2.006 10.682
2.006 -2.006 10.682
2.006 2.006 -10.682
ATOMIC_POSITIONS angstrom
Ba 0.000 0.000 1.899
Ba 0.000 0.000 19.465
Hf 2.006 0.000 5.341
Hf 0.000 2.006 5.341
Se 0.000 0.000 10.682
```

***

12.
Entry from the Alexandria database: Ba2HfSe4 after structural relaxation (PBE). Values from VASP.

Summary:
Space-group type: P2_1/m
Formation energy (no corrections) (eV/atom): -1.725
Energy (eV/atom): -5.687
Density of states at the Fermi level (states/eV/atom): 0.0000

Structure (Quantum ESPRESSO input):
```
&SYSTEM
  ibrav = 0, nat = 14, ntyp = 3
/
ATOMIC_SPECIES
Ba 137.33 Ba.upf
Hf 178.49 Hf.upf
Se 78.96 Se.upf
CELL_PARAMETERS angstrom
7.514 0.000 0.000
0.000 7.331 0.000
-2.939 0.000 8.765
ATOMIC_POSITIONS angstrom
Ba 1.459 1.833 0.431
Ba 0.368 1.833 4.981
Ba 4.207 5.498 3.783
Ba 3.115 5.498 8.334
Hf -0.629 5.498 7.009
Hf 5.203 1.833 1.756
Se -2.164 0.069 6.453
Se -2.164 3.597 6.453
Se 6.738 3.734 2.312
Se 6.738 7.262 2.312
Se 2.828 5.498 0.693
Se 1.380 5.498 5.503
Se 3.195 1.833 3.262
Se 1.747 1.833 8.072
```

***

Which value of energy does entry 10 give? -6.829 eV/atom